Entry 1:
DFT (PBE) results for an optimized crystal structure of PmPrCdCo.

Computed properties:
Space-group type: No. 216
E_form (eV per atom): -0.04
Crystal system: cubic

Cell lengths 5.2141, 5.2141, 5.2141 Å; angles 60.00, 60.00, 60.00 degrees
Closest atoms and distances in Å follow each position.
Sites, in units of the cell vectors:
Pm 0.0000 0.0000 0.0000  4 Co 3.19, 4 Cd 3.19
Pr 0.5000 0.5000 0.5000  4 Co 3.19, 4 Cd 3.19
Cd 0.2500 0.2500 0.2500  4 Pr 3.19, 4 Pm 3.19
Co 0.7500 0.7500 0.7500  4 Pr 3.19, 4 Pm 3.19



Entry 2:
DFT (PBE) results for an optimized crystal structure of Tb2NdErTm2.

Computed properties:
Space-group type: No. 58
E_form (eV per atom): 0.16
Crystal system: orthorhombic

Cell lengths 6.9152, 16.0485, 3.5029 Å; angles 90.00, 90.00, 90.00 degrees
Closest atoms and distances in Å follow each position.
Sites, in units of the cell vectors:
Tb 0.2482 0.1595 0.0000  4 Tm 3.45-3.47, 2 Tb 3.50, 2 Er 3.54, 2 Nd 3.56
Tb 0.2518 0.6595 0.5000  4 Tm 3.45-3.47, 2 Tb 3.50, 2 Er 3.54, 2 Nd 3.56
Tb 0.7482 0.3405 0.5000  4 Tm 3.45-3.47, 2 Tb 3.50, 2 Er 3.54, 2 Nd 3.56
Tb 0.7518 0.8405 0.0000  4 Tm 3.45-3.47, 2 Tb 3.50, 2 Er 3.54, 2 Nd 3.56
Nd 0.0000 0.5000 0.0000  2 Er 3.46, 4 Tm 3.49, 2 Nd 3.50, 4 Tb 3.56
Nd 0.5000 0.0000 0.5000  2 Er 3.46, 4 Tm 3.49, 2 Nd 3.50, 4 Tb 3.56
Er 0.0000 0.0000 0.5000  2 Nd 3.46, 4 Tm 3.49, 2 Er 3.50, 4 Tb 3.54
Er 0.5000 0.5000 0.0000  2 Nd 3.46, 4 Tm 3.49, 2 Er 3.50, 4 Tb 3.54
Tm 0.2494 0.3457 0.5000  4 Tb 3.45-3.47, 2 Nd 3.49, 2 Er 3.49, 2 Tm 3.50
Tm 0.2506 0.8457 0.0000  4 Tb 3.45-3.47, 2 Nd 3.49, 2 Er 3.49, 2 Tm 3.50
Tm 0.7494 0.1543 0.0000  4 Tb 3.45-3.47, 2 Nd 3.49, 2 Er 3.49, 2 Tm 3.50
Tm 0.7506 0.6543 0.5000  4 Tb 3.45-3.47, 2 Nd 3.49, 2 Er 3.49, 2 Tm 3.50



Entry 3:
DFT (PBE) results for an optimized crystal structure of ZrTiSN2.

Computed properties:
E_form (uncorrected) (eV per atom): 0.1017
Space-group type: No. 123
E above lowest polymorph (meV per atom): 529
Crystal system: tetragonal

Cell lengths 4.0999, 4.0999, 5.1160 Å; angles 90.00, 90.00, 90.00 degrees
Closest atoms and distances in Å follow each position.
Sites, in units of the cell vectors:
Zr 0.0000 0.0000 0.0000  4 N 2.05
Ti 0.5000 0.5000 0.5000  4 S 2.90
S 0.0000 0.0000 0.5000  2 Zr 2.56
N 0.0000 0.5000 0.0000  2 Zr 2.05
N 0.5000 0.0000 0.0000  2 Zr 2.05



Q: Which M_tot values were calculated for the entries above? A: 0.6; 0.0; 1.1, in μB per cell.
Q: Which calculated total energy values were calculated for the entries above? A: -4.4316; -4.4245; -7.3425, in eV/atom.